(1)
An optimized crystal structure of Rb3Ho, computed with PBE-GGA.

abc: 7.1819 7.1819 7.1819
angles: 60.00 60.00 60.00
Closest atoms and distances in Å follow each position.
Fractional coordinates of all 4 atoms:
Rb: 0.0000 0.0000 0.0000  8 Rb 4.40
Rb: 0.2500 0.2500 0.2500  4 Ho 4.40, 4 Rb 4.40
Rb: 0.7500 0.7500 0.7500  4 Ho 4.40, 4 Rb 4.40
Ho: 0.5000 0.5000 0.5000  8 Rb 4.40

Calculated values
Volume (Å³/cell): 261.9
E_tot (eV per atom): -1.24
Energy of formation (eV per atom): 0.6297

(2)
An optimized crystal structure of NaPa4SbN8, computed with PBE-GGA.

abc: 6.8724 6.8724 6.8724
angles: 62.69 62.69 62.69
Closest atoms and distances in Å follow each position.
Fractional coordinates of all 14 atoms:
Na: 0.0000 0.0000 0.0000  4 N 2.51-2.56
Pa: 0.1118 0.6197 0.6197  6 N 2.26-2.39
Pa: 0.2321 0.2321 0.2321  3 N 2.14
Pa: 0.6197 0.1118 0.6197  6 N 2.26-2.39
Pa: 0.6197 0.6197 0.1118  6 N 2.26-2.39
Sb: 0.6311 0.6311 0.6311  3 N 2.14
N: 0.3361 0.3361 0.8634  3 Pa 2.14-2.37
N: 0.3361 0.8634 0.3361  3 Pa 2.14-2.37
N: 0.3812 0.3812 0.3812  4 Pa 2.39-2.46
N: 0.4323 0.8467 0.8467  1 Sb 2.14, 2 Pa 2.26
N: 0.8446 0.8446 0.8446  3 Pa 2.27
N: 0.8467 0.4323 0.8467  1 Sb 2.14, 2 Pa 2.26
N: 0.8467 0.8467 0.4323  1 Sb 2.14, 2 Pa 2.26
N: 0.8634 0.3361 0.3361  3 Pa 2.14-2.37

Calculated values
Volume (Å³/cell): 243.3
E_tot (eV per atom): -8.94
Formation energy without anion corrections (eV per atom): -1.079

(3)
An optimized crystal structure of Ac2DyGe3, computed with PBE-GGA.

abc: 7.0153 7.0153 7.0153
angles: 137.64 127.30 69.83
Closest atoms and distances in Å follow each position.
Fractional coordinates of all 6 atoms:
Ac: 0.1745 0.1745 0.0000  6 Ge 3.17-3.45
Ac: 0.8255 0.8255 0.0000  6 Ge 3.17-3.45
Dy: 0.5000 0.5000 0.0000  6 Ge 2.90-3.11
Ge: 0.0000 0.5000 0.5000  2 Dy 3.11, 4 Ac 3.23
Ge: 0.3782 0.8782 0.5000  1 Ge 2.80, 2 Dy 2.90
Ge: 0.6218 0.1218 0.5000  1 Ge 2.80, 2 Dy 2.90

Calculated values
Volume (Å³/cell): 181.6
E_tot (eV per atom): -5.04
Energy of formation (eV per atom): -0.5950